--- a ---
Density functional theory data (meta-GGA SCAN) for a crystal of Ni3Cl relaxed with PBEsol.

Cell: 2.8148 3.8407 4.9873 Å, 112.65 106.39 90.00°
Site moments in Bohr magnetons follow the coordinates.
Fractional coordinates of all 4 atoms:
Cl1 0.0000 0.9600 0.0000  0.07
Ni1 0.5000 0.4279 0.0000  0.44
Ni2 0.2193 0.9424 0.4387  0.55
Ni3 0.7807 0.5037 0.5613  0.55

SG = Imm2, No. 44
ρ = 7.41 g/cm³

=====

--- b ---
Density functional theory data (meta-GGA SCAN) for a crystal of Ni3Cl relaxed with PBEsol.

Cell: 2.8829 2.8829 5.8432 Å, 90.00 90.00 90.00°
Site moments in Bohr magnetons follow the coordinates.
Fractional coordinates of all 4 atoms:
Ni1 0.0000 0.0000 0.5000  0.92
Ni2 0.5000 0.5000 0.2816  0.81
Ni3 0.5000 0.5000 0.7184  0.81
Cl1 0.0000 0.0000 0.0000  0.08

SG = P4/mmm, No. 123
ρ = 7.23 g/cm³

=====

Which one sits at the top of the stability order? b does.

=====

--- a ---
Density functional theory data (meta-GGA SCAN) for a crystal of Ni3Cl relaxed with PBEsol.

Cell: 2.7728 2.7728 7.3931 Å, 79.19 79.19 60.00°
Site moments in Bohr magnetons follow the coordinates.
Fractional coordinates of all 4 atoms:
Cl1 0.0000 0.0000 0.0000  0.13
Ni1 0.2502 0.2502 0.2493  0.88
Ni2 0.7498 0.7498 0.7507  0.88
Ni3 0.5000 0.5000 0.5000  0.79

SG = R-3m, No. 166
ρ = 7.31 g/cm³

=====

--- b ---
Density functional theory data (meta-GGA SCAN) for a crystal of Ni3Cl relaxed with PBEsol.

Cell: 2.7264 4.2300 4.2300 Å, 107.68 90.00 90.00°
Site moments in Bohr magnetons follow the coordinates.
Fractional coordinates of all 4 atoms:
Ni1 0.5000 0.0000 0.5000  0.65
Ni2 0.0000 0.5000 0.5000  0.66
Ni3 0.5000 0.5000 0.0000  0.65
Cl1 0.0000 0.0000 0.0000  0.09

SG = Cmmm, No. 65
ρ = 7.56 g/cm³

=====

Which one sits at the top of the stability order? a does.

=====

--- a ---
Density functional theory data (meta-GGA SCAN) for a crystal of RbNiP2Cl relaxed with PBEsol.

Cell: 4.2178 4.2178 7.3274 Å, 90.00 90.00 90.00°
Fractional coordinates of all 5 atoms:
Cl1 0.0000 0.0000 0.5000
P1 0.0000 0.5000 0.0000
Ni1 0.0000 0.0000 0.0000
Rb1 0.5000 0.5000 0.5000
P2 0.5000 0.0000 0.0000

SG = P4/mmm, No. 123
ρ = 3.08 g/cm³

=====

--- b ---
Density functional theory data (meta-GGA SCAN) for a crystal of RbNiP2Cl relaxed with PBEsol.

Cell: 5.7000 6.2154 6.2154 Å, 90.00 90.00 90.00°
Site moments in Bohr magnetons follow the coordinates.
Fractional coordinates of all 5 atoms:
P1 0.0000 0.0000 0.5000  1.12
Cl1 0.5000 0.0000 0.0000  0.05
Rb1 0.0000 0.0000 0.0000  0.08
Ni1 0.5000 0.5000 0.5000  -1.46
P2 0.0000 0.5000 0.0000  1.12

SG = P4/mmm, No. 123
ρ = 1.82 g/cm³

=====

Which one sits at the top of the stability order? a does.

=====

--- a ---
Density functional theory data (meta-GGA SCAN) for a crystal of NiPt2Cl relaxed with PBEsol.

Cell: 2.7640 4.6876 5.2096 Å, 116.74 105.38 90.00°
Site moments in Bohr magnetons follow the coordinates.
Fractional coordinates of all 4 atoms:
Pt1 0.9724 0.9724 0.9448  -0.13
Pt2 0.7488 0.2488 0.4975  -0.06
Cl1 0.5407 0.5407 0.0814  -0.06
Ni1 0.2381 0.7381 0.4763  -1.06

SG = Imm2, No. 44
ρ = 13.97 g/cm³

=====

--- b ---
Density functional theory data (meta-GGA SCAN) for a crystal of NiPt2Cl relaxed with PBEsol.

Cell: 2.8584 4.4983 4.5629 Å, 90.00 90.04 90.00°
Site moments in Bohr magnetons follow the coordinates.
Fractional coordinates of all 4 atoms:
Pt1 0.7523 0.0000 0.7442  0.25
Pt2 0.2477 0.0000 0.2558  0.25
Cl1 0.5000 0.5000 0.0000  0.11
Ni1 0.0000 0.5000 0.5000  1.38

SG = P2/m, No. 10
ρ = 13.71 g/cm³

=====

Which one sits at the top of the stability order? b does.

=====

--- a ---
Density functional theory data (meta-GGA SCAN) for a crystal of NiPt2Cl relaxed with PBEsol.

Cell: 2.8010 2.8010 7.5517 Å, 90.00 90.00 90.00°
Site moments in Bohr magnetons follow the coordinates.
Fractional coordinates of all 4 atoms:
Cl1 0.0000 0.0000 0.5532  0.18
Ni1 0.5000 0.5000 0.7479  1.21
Pt1 0.0000 0.0000 0.9733  0.54
Pt2 0.5000 0.5000 0.2256  0.28

SG = P4mm, No. 99
ρ = 13.57 g/cm³

=====

--- b ---
Density functional theory data (meta-GGA SCAN) for a crystal of NiPt2Cl relaxed with PBEsol.

Cell: 2.9271 2.9271 8.0497 Å, 79.52 79.52 60.00°
Fractional coordinates of all 4 atoms:
Ni1 0.0000 0.0000 0.0000
Pt1 0.7433 0.7433 0.7702
Cl1 0.5000 0.5000 0.5000
Pt2 0.2567 0.2567 0.2298

SG = R-3m, No. 166
ρ = 13.77 g/cm³

=====

Which one sits at the top of the stability order? a does.

=====

--- a ---
Density functional theory data (meta-GGA SCAN) for a crystal of Ni2PtCl relaxed with PBEsol.

Cell: 2.7987 2.7987 7.8984 Å, 90.00 90.00 120.70°
Site moments in Bohr magnetons follow the coordinates.
Fractional coordinates of all 4 atoms:
Ni1 0.0000 0.0000 0.2339  1.01
Pt1 0.5000 0.5000 0.5000  0.16
Cl1 0.5000 0.5000 0.0000  0.09
Ni2 0.0000 0.0000 0.7661  1.01

SG = Cmmm, No. 65
ρ = 10.86 g/cm³

=====

--- b ---
Density functional theory data (meta-GGA SCAN) for a crystal of Ni2PtCl relaxed with PBEsol.

Cell: 2.7295 4.2763 4.5593 Å, 90.00 90.00 90.00°
Site moments in Bohr magnetons follow the coordinates.
Fractional coordinates of all 4 atoms:
Pt1 0.5000 0.5000 0.0000  0.12
Ni1 0.5000 0.0000 0.5000  0.95
Ni2 0.0000 0.0000 0.0000  0.70
Cl1 0.0000 0.5000 0.5000  0.07

SG = Pmmm, No. 47
ρ = 10.86 g/cm³

=====

Which one sits at the top of the stability order? a does.

=====

--- a ---
Density functional theory data (meta-GGA SCAN) for a crystal of ReNi2Cl relaxed with PBEsol.

Cell: 2.6978 3.8848 5.1814 Å, 90.00 104.81 90.00°
Fractional coordinates of all 4 atoms:
Ni1 0.0544 0.0000 0.9950
Re1 0.3383 0.0000 0.5496
Ni2 0.9264 0.5000 0.7283
Cl1 0.1808 0.5000 0.2270

SG = Pm, No. 6
ρ = 10.72 g/cm³

=====

--- b ---
Density functional theory data (meta-GGA SCAN) for a crystal of ReNi2Cl relaxed with PBEsol.

Cell: 2.6947 4.3009 4.3708 Å, 90.00 90.00 90.00°
Site moments in Bohr magnetons follow the coordinates.
Fractional coordinates of all 4 atoms:
Ni1 0.0000 0.0000 0.0000  0.65
Re1 0.5000 0.0000 0.5000  0.56
Cl1 0.0000 0.5000 0.5000  0.09
Ni2 0.5000 0.5000 0.0000  0.97

SG = Pmmm, No. 47
ρ = 11.11 g/cm³

=====

Which one sits at the top of the stability order? a does.

=====

--- a ---
Density functional theory data (meta-GGA SCAN) for a crystal of Re2NiCl relaxed with PBEsol.

Cell: 2.7497 2.7296 8.6938 Å, 90.00 90.00 120.24°
Fractional coordinates of all 4 atoms:
Ni1 0.5000 0.0000 0.0000
Re1 0.0000 0.0000 0.2419
Cl1 0.5000 0.0000 0.5000
Re2 0.0000 0.0000 0.7581

SG = Cmmm, No. 65
ρ = 13.74 g/cm³

=====

--- b ---
Density functional theory data (meta-GGA SCAN) for a crystal of Re2NiCl relaxed with PBEsol.

Cell: 4.2938 4.2938 4.2938 Å, 60.00 60.00 60.00°
Fractional coordinates of all 4 atoms:
Re1 0.7500 0.7500 0.7500
Ni1 0.2500 0.2500 0.2500
Cl1 0.5000 0.5000 0.5000
Re2 0.0000 0.0000 0.0000

SG = F-43m, No. 216
ρ = 13.84 g/cm³

=====

Which one sits at the top of the stability order? a does.

=====

--- a ---
Density functional theory data (meta-GGA SCAN) for a crystal of NiRhCl2 relaxed with PBEsol.

Cell: 4.2801 4.2801 4.2801 Å, 60.00 60.00 60.00°
Site moments in Bohr magnetons follow the coordinates.
Fractional coordinates of all 4 atoms:
Cl1 0.7500 0.7500 0.7500  0.04
Rh1 0.0000 0.0000 0.0000  0.91
Ni1 0.5000 0.5000 0.5000  -0.73
Cl2 0.2500 0.2500 0.2500  0.04

SG = Fm-3m, No. 225
ρ = 6.96 g/cm³

=====

--- b ---
Density functional theory data (meta-GGA SCAN) for a crystal of NiRhCl2 relaxed with PBEsol.

Cell: 3.5359 4.4237 4.4207 Å, 116.50 90.00 90.00°
Fractional coordinates of all 4 atoms:
Ni1 0.0000 0.4944 0.5057
Rh1 0.5000 0.2646 0.7352
Cl1 0.5000 0.7004 0.2995
Cl2 0.0000 0.0406 0.9596

SG = Amm2, No. 38
ρ = 6.24 g/cm³

=====

Which one sits at the top of the stability order? b does.

=====

--- a ---
Density functional theory data (meta-GGA SCAN) for a crystal of NiRu2Cl relaxed with PBEsol.

Cell: 2.7353 2.7575 8.2846 Å, 90.00 90.00 119.73°
Site moments in Bohr magnetons follow the coordinates.
Fractional coordinates of all 4 atoms:
Ru1 0.5000 0.0000 0.2529  0.66
Ni1 0.5000 0.0000 0.7416  0.81
Ru2 0.0000 0.0000 0.9935  0.82
Cl1 0.0000 0.0000 0.5120  0.07

SG = Cmm2, No. 35
ρ = 9.07 g/cm³

=====

--- b ---
Density functional theory data (meta-GGA SCAN) for a crystal of NiRu2Cl relaxed with PBEsol.

Cell: 2.7712 2.7712 6.9004 Å, 90.00 90.00 90.00°
Site moments in Bohr magnetons follow the coordinates.
Fractional coordinates of all 4 atoms:
Ru1 0.5000 0.5000 0.2412  -0.02
Ni1 0.5000 0.5000 0.7492  0.71
Cl1 0.0000 0.0000 0.5065  0.04
Ru2 0.0000 0.0000 0.0030  0.30

SG = P4mm, No. 99
ρ = 9.28 g/cm³

=====

Which one sits at the top of the stability order? b does.

=====

--- a ---
Density functional theory data (meta-GGA SCAN) for a crystal of NiRu2Cl relaxed with PBEsol.

Cell: 2.7989 4.2541 4.2541 Å, 90.00 90.00 90.00°
Fractional coordinates of all 4 atoms:
Ni1 0.5000 0.0000 0.0000
Ru1 0.0000 0.0000 0.5000
Cl1 0.5000 0.5000 0.5000
Ru2 0.0000 0.5000 0.0000

SG = P4/mmm, No. 123
ρ = 9.71 g/cm³

=====

--- b ---
Density functional theory data (meta-GGA SCAN) for a crystal of NiRu2Cl relaxed with PBEsol.

Cell: 4.2183 4.2183 4.2183 Å, 60.00 60.00 60.00°
Fractional coordinates of all 4 atoms:
Ru1 0.7500 0.7500 0.7500
Ni1 0.2500 0.2500 0.2500
Cl1 0.5000 0.5000 0.5000
Ru2 0.0000 0.0000 0.0000

SG = F-43m, No. 216
ρ = 9.27 g/cm³

=====

Which one sits at the top of the stability order? a does.

=====

--- a ---
Density functional theory data (meta-GGA SCAN) for a crystal of NiSbCl2 relaxed with PBEsol.

Cell: 3.1324 3.3729 8.9255 Å, 90.00 90.00 117.67°
Fractional coordinates of all 4 atoms:
Cl1 0.0000 0.0000 0.6704
Sb1 0.5000 0.0000 0.0000
Cl2 0.0000 0.0000 0.3296
Ni1 0.5000 0.0000 0.5000

SG = Cmmm, No. 65
ρ = 5.00 g/cm³

=====

--- b ---
Density functional theory data (meta-GGA SCAN) for a crystal of NiSbCl2 relaxed with PBEsol.

Cell: 3.3771 3.3771 7.9505 Å, 90.00 90.00 112.11°
Site moments in Bohr magnetons follow the coordinates.
Fractional coordinates of all 4 atoms:
Cl1 0.0000 0.0000 0.0400  0.00
Cl2 0.5000 0.5000 0.6598  0.01
Ni1 0.0000 0.0000 0.4997  0.20
Sb1 0.5000 0.5000 0.3005  0.00

SG = Cmm2, No. 35
ρ = 4.97 g/cm³

=====

--- c ---
Density functional theory data (meta-GGA SCAN) for a crystal of NiSbCl2 relaxed with PBEsol.

Cell: 3.1385 4.3837 5.3701 Å, 90.00 90.00 90.00°
Site moments in Bohr magnetons follow the coordinates.
Fractional coordinates of all 4 atoms:
Ni1 0.5000 0.5000 0.0000  1.20
Cl1 0.0000 0.0000 0.0000  0.10
Sb1 0.0000 0.5000 0.5000  0.04
Cl2 0.5000 0.0000 0.5000  0.00

SG = Pmmm, No. 47
ρ = 5.65 g/cm³

=====

Which one sits at the top of the stability order? a does.